[1]
A plane-wave DFT calculation with GGA-PBE was carried out for LaPr7Y3 after structural relaxation.

abc: 7.309 7.309 8.795
angles: 90.00 90.00 120.00
Element x y z (fractional)
La: 0.000 0.000 0.000
Pr: 0.333 0.667 0.312
Pr: 0.334 0.167 0.332
Pr: 0.500 0.001 0.979
Pr: 0.500 0.500 0.979
Pr: 0.833 0.167 0.332
Pr: 0.833 0.666 0.332
Pr: 0.999 0.500 0.979
Y: 0.167 0.334 0.655
Y: 0.167 0.833 0.655
Y: 0.666 0.833 0.655

E above lowest polymorph ... 0.00 eV per formula unit
DFT formation energy ... 194 kJ/mol of formula units
Total DFT energy (no corrections) ... -5.070 eV/atom
DOS(E_F) ... 17.716 states/eV/f.u.

---

[2]
A plane-wave DFT calculation with GGA-PBE was carried out for NaZn4Cu2 after structural relaxation.

abc: 5.220 5.220 5.052
angles: 117.93 117.93 76.83
Element x y z (fractional)
Na: 0.000 0.000 0.000
Zn: 0.001 0.606 0.302
Zn: 0.394 0.999 0.698
Zn: 0.606 0.001 0.302
Zn: 0.999 0.394 0.698
Cu: 0.499 0.499 0.248
Cu: 0.501 0.501 0.752

DFT formation energy ... -23 kJ/mol of formula units
Total DFT energy (no corrections) ... -2.121 eV/atom
DOS(E_F) ... 2.095 states/eV/f.u.